No. 1
! Tb2TmIn9 | Alexandria | PBE | optimized geometry; values from VASP
! * energy relative to the elements: -408 meV per atom
! * E_tot: -3.606 eV/atom
! * mass density: 8.45 Mg/m³
! * space-group type: P4/mmm (123)
&SYSTEM
  ibrav = 0, nat = 12, ntyp = 3
/
ATOMIC_SPECIES
Tb 158.93 Tb.upf
Tm 168.93 Tm.upf
In 114.82 In.upf
CELL_PARAMETERS angstrom
4.636 0.000 0.000
0.000 4.636 0.000
0.000 0.000 13.894
ATOMIC_POSITIONS angstrom
Tb 0.000 0.000 2.323
Tb 0.000 0.000 11.571
Tm 0.000 0.000 6.947
In 0.000 2.318 0.000
In 0.000 2.318 4.655
In 0.000 2.318 9.239
In 2.318 0.000 0.000
In 2.318 0.000 4.655
In 2.318 0.000 9.239
In 2.318 2.318 2.321
In 2.318 2.318 6.947
In 2.318 2.318 11.573

No. 2
! MnNi4P2 | Alexandria | PBE | optimized geometry; values from VASP
! * energy relative to the elements: -240 meV per atom
! * E_tot: -6.399 eV/atom
! * mass density: 6.71 Mg/m³
! * space-group type: Ima2 (46)
&SYSTEM
  ibrav = 0, nat = 14, ntyp = 3
/
ATOMIC_SPECIES
Mn 54.94 Mn.upf
Ni 58.69 Ni.upf
P 30.97 P.upf
CELL_PARAMETERS angstrom
-2.653 5.535 2.962
2.653 -5.535 2.962
2.653 5.535 -2.962
ATOMIC_POSITIONS angstrom
Mn 1.327 1.254 0.000
Mn 1.327 4.281 2.962
Ni 0.050 3.468 0.110
Ni 2.603 3.468 0.110
Ni 1.327 -0.043 2.205
Ni 1.327 5.578 -0.757
Ni -0.050 7.602 0.110
Ni 0.050 2.067 3.072
Ni -1.327 4.122 2.193
Ni 1.327 6.948 2.193
P 1.327 -2.023 1.286
P 3.980 2.023 1.286
P 0.000 5.535 1.086
P 0.000 0.000 4.048

No. 3
! Ac4La15Tm | Alexandria | PBE | optimized geometry; values from VASP
! * energy relative to the elements: 18 meV per atom
! * E_tot: -4.723 eV/atom
! * mass density: 6.93 Mg/m³
! * space-group type: P4/mmm (123)
&SYSTEM
  ibrav = 0, nat = 20, ntyp = 3
/
ATOMIC_SPECIES
Ac 227.00 Ac.upf
La 138.91 La.upf
Tm 168.93 Tm.upf
CELL_PARAMETERS angstrom
5.336 0.000 0.000
0.000 5.336 0.000
0.000 0.000 26.614
ATOMIC_POSITIONS angstrom
Ac 0.000 0.000 2.690
Ac 0.000 0.000 8.066
Ac 0.000 0.000 18.548
Ac 0.000 0.000 23.924
La 0.000 2.668 0.000
La 0.000 2.668 5.373
La 0.000 2.668 10.768
La 0.000 2.668 15.846
La 0.000 2.668 21.241
La 2.668 0.000 0.000
La 2.668 0.000 5.373
La 2.668 0.000 10.768
La 2.668 0.000 15.846
La 2.668 0.000 21.241
La 2.668 2.668 2.697
La 2.668 2.668 8.108
La 2.668 2.668 13.307
La 2.668 2.668 18.507
La 2.668 2.668 23.918
Tm 0.000 0.000 13.307

No. 4
! NdGa2Tc2 | Alexandria | PBE | optimized geometry; values from VASP
! * energy relative to the elements: -404 meV per atom
! * E_tot: -6.715 eV/atom
! * mass density: 8.14 Mg/m³
! * space-group type: Imma (74)
&SYSTEM
  ibrav = 0, nat = 10, ntyp = 3
/
ATOMIC_SPECIES
Nd 144.24 Nd.upf
Ga 69.72 Ga.upf
Tc 98.00 Tc.upf
CELL_PARAMETERS angstrom
-2.099 2.130 10.943
2.099 -2.130 10.943
2.099 2.130 -10.943
ATOMIC_POSITIONS angstrom
Nd 0.000 1.065 2.113
Nd 2.099 1.065 8.830
Ga 2.099 1.065 -3.136
Ga 2.099 1.065 -0.591
Ga 0.000 1.065 11.534
Ga 0.000 1.065 14.079
Tc 2.099 -1.065 6.177
Tc 2.099 1.065 4.760
Tc 0.000 1.065 6.183
Tc 0.000 3.196 4.766

No. 5
! Li2TaAsAu | Alexandria | PBE | optimized geometry; values from VASP
! * energy relative to the elements: 399 meV per atom
! * E_tot: -4.323 eV/atom
! * mass density: 7.81 Mg/m³
! * space-group type: P4/mmm (123)
&SYSTEM
  ibrav = 0, nat = 5, ntyp = 4
/
ATOMIC_SPECIES
Li 6.94 Li.upf
Ta 180.95 Ta.upf
As 74.92 As.upf
Au 196.97 Au.upf
CELL_PARAMETERS angstrom
4.348 0.000 0.000
0.000 4.348 0.000
0.000 0.000 5.250
ATOMIC_POSITIONS angstrom
Li 0.000 2.174 0.000
Li 2.174 0.000 0.000
Ta 0.000 0.000 2.625
As 2.174 2.174 2.625
Au 0.000 0.000 0.000

No. 6
! La3SmYHo | Alexandria | PBE | optimized geometry; values from VASP
! * energy relative to the elements: 30 meV per atom
! * E_tot: -5.061 eV/atom
! * mass density: 6.53 Mg/m³
! * space-group type: P2_1/m (11)
&SYSTEM
  ibrav = 0, nat = 12, ntyp = 4
/
ATOMIC_SPECIES
La 138.91 La.upf
Sm 150.36 Sm.upf
Y 88.91 Y.upf
Ho 164.93 Ho.upf
CELL_PARAMETERS angstrom
8.126 0.000 0.000
0.000 5.216 0.000
-3.333 0.000 9.845
ATOMIC_POSITIONS angstrom
La 1.210 1.304 0.430
La -0.422 1.304 5.315
La -1.253 3.912 7.790
La 6.045 1.304 2.055
La 5.214 3.912 4.530
La 3.582 3.912 9.415
Sm 0.410 3.912 2.893
Sm 4.382 1.304 6.952
Y 3.612 3.912 1.250
Y 1.180 1.304 8.595
Ho 2.800 1.304 3.720
Ho 1.992 3.912 6.125

No. 7
! Np2NbN3 | Alexandria | PBE | optimized geometry; values from VASP
! * E_tot: -11.240 eV/atom
! * energy relative to the elements, uncorrected: -1.09 eV/atom
! * mass density: 12.80 Mg/m³
! * space-group type: I4/mmm (139)
&SYSTEM
  ibrav = 0, nat = 6, ntyp = 3
/
ATOMIC_SPECIES
Np 237.00 Np.upf
Nb 92.91 Nb.upf
N 14.01 N.upf
CELL_PARAMETERS angstrom
-1.678 1.678 7.018
1.678 -1.678 7.018
1.678 1.678 -7.018
ATOMIC_POSITIONS angstrom
Np 0.000 0.000 2.269
Np 0.000 0.000 11.767
Nb 0.000 0.000 7.018
N 0.000 0.000 0.000
N 0.000 0.000 4.742
N 0.000 0.000 9.294

No. 8
! La5Sm6 | Alexandria | PBE | optimized geometry; values from VASP
! * energy relative to the elements: 104 meV per atom
! * E_tot: -4.710 eV/atom
! * mass density: 6.73 Mg/m³
! * space-group type: Immm (71)
! * energy relative to the lowest polymorph listed for this composition: 0.000 eV/f.u.
&SYSTEM
  ibrav = 0, nat = 11, ntyp = 2
/
ATOMIC_SPECIES
La 138.91 La.upf
Sm 150.36 Sm.upf
CELL_PARAMETERS angstrom
-2.872 4.186 8.195
2.872 -4.186 8.195
2.872 4.186 -8.195
ATOMIC_POSITIONS angstrom
La 0.000 0.000 0.000
La 2.872 0.000 2.621
La 0.000 0.000 4.941
La 0.000 0.000 11.449
La 0.000 4.186 5.574
Sm 2.872 -1.704 5.973
Sm 2.872 2.460 0.000
Sm 0.000 2.481 2.222
Sm 2.872 1.704 5.973
Sm 0.000 1.726 8.195
Sm 0.000 5.890 2.222

No. 9
! Pa2Si4Ni3Ru | Alexandria | PBE | optimized geometry; values from VASP
! * E_tot: -7.534 eV/atom
! * energy relative to the elements, uncorrected: -0.80 eV/atom
! * mass density: 9.24 Mg/m³
! * space-group type: P-4m2 (115)
&SYSTEM
  ibrav = 0, nat = 10, ntyp = 4
/
ATOMIC_SPECIES
Pa 231.04 Pa.upf
Si 28.09 Si.upf
Ni 58.69 Ni.upf
Ru 101.07 Ru.upf
CELL_PARAMETERS angstrom
4.008 0.000 0.000
0.000 4.008 0.000
0.000 0.000 9.533
ATOMIC_POSITIONS angstrom
Pa 0.000 2.004 2.352
Pa 2.004 0.000 7.180
Si 0.000 0.000 0.000
Si 0.000 2.004 6.076
Si 2.004 0.000 3.457
Si 2.004 2.004 0.000
Ni 0.000 2.004 8.370
Ni 2.004 0.000 1.162
Ni 2.004 2.004 4.766
Ru 0.000 0.000 4.766

No. 10
! CoPd3 | Alexandria | PBE | optimized geometry; values from VASP
! * energy relative to the elements: 57 meV per atom
! * E_tot: -5.614 eV/atom
! * mass density: 10.83 Mg/m³
! * space-group type: Imm2 (44)
&SYSTEM
  ibrav = 0, nat = 4, ntyp = 2
/
ATOMIC_SPECIES
Co 58.93 Co.upf
Pd 106.42 Pd.upf
CELL_PARAMETERS angstrom
-1.380 4.456 2.359
1.380 -4.456 2.359
1.380 4.456 -2.359
ATOMIC_POSITIONS angstrom
Co 0.000 0.000 0.000
Pd 1.380 2.125 -0.714
Pd 1.380 0.000 2.265
Pd 0.000 2.331 1.645

No. 11
! Pm4InBi | Alexandria | PBE | optimized geometry; values from VASP
! * energy relative to the elements: -423 meV per atom
! * E_tot: -4.693 eV/atom
! * mass density: 7.89 Mg/m³
! * space-group type: C2/c (15)
&SYSTEM
  ibrav = 0, nat = 12, ntyp = 3
/
ATOMIC_SPECIES
Pm 145.00 Pm.upf
In 114.82 In.upf
Bi 208.98 Bi.upf
CELL_PARAMETERS angstrom
4.521 -7.189 0.000
4.521 7.189 0.000
-2.477 0.000 5.853
ATOMIC_POSITIONS angstrom
Pm 1.256 4.456 5.483
Pm 1.115 1.256 3.834
Pm 4.069 4.456 3.296
Pm 2.354 -1.256 0.907
Pm 4.210 1.256 4.946
Pm 2.494 -4.456 2.557
Pm 5.448 -1.256 2.019
Pm 5.308 -4.456 0.370
In 3.901 7.162 1.463
In 2.663 -7.162 4.390
Bi 3.901 1.661 1.463
Bi 2.663 -1.661 4.390

No. 12
! La2MoN3 | Alexandria | PBE | optimized geometry; values from VASP
! * E_tot: -8.704 eV/atom
! * energy relative to the elements, uncorrected: -1.09 eV/atom
! * mass density: 7.21 Mg/m³
! * space-group type: Immm (71)
! * energy relative to the lowest polymorph listed for this composition: 0.000 eV/f.u.
&SYSTEM
  ibrav = 0, nat = 6, ntyp = 3
/
ATOMIC_SPECIES
La 138.91 La.upf
Mo 95.94 Mo.upf
N 14.01 N.upf
CELL_PARAMETERS angstrom
-1.813 2.025 6.521
1.813 -2.025 6.521
1.813 2.025 -6.521
ATOMIC_POSITIONS angstrom
La 0.000 0.000 1.901
La 0.000 0.000 11.141
Mo 0.000 0.000 6.521
N 1.813 0.000 0.000
N 0.000 0.000 4.488
N 0.000 0.000 8.555